12
Lattice="7.055 0.000 0.000 0.000 3.288 0.000 -0.744 0.000 7.996" Properties=species:S:1:pos:R:3 comment="PuPaTaN3 (GGA-PBE, optimized geometry)" crystal_system=monoclinic formation_energy_uncorrected_ev_per_atom=-1.038 energy_ev_per_atom=-11.15 pbc="T T T"
Pu 0.489 0.822 2.750
Pu 5.822 2.466 5.246
Pa 2.400 2.466 5.407
Pa 3.912 0.822 2.588
Ta 0.422 0.822 7.582
Ta 5.889 2.466 0.414
N 0.860 2.466 0.887
N 0.701 0.822 5.373
N 2.367 2.466 3.186
N 3.945 0.822 4.810
N 5.610 2.466 2.622
N 5.451 0.822 7.109